Entry 1:
Computed, not measured: a relaxed AgBr2Cl crystal at the PBE-GGA level of DFT.

Unit cell a=4.289 b=4.289 c=7.733 alpha=96.64 beta=96.64 gamma=57.82
Atoms (fractional coordinates):
Cl1 0.608 0.608 0.427
Br1 0.747 0.747 0.748
Br2 0.889 0.889 0.057
Ag1 0.255 0.255 0.268

Energy relative to the elements, uncorrected ... -0.751 eV/f.u.

=====

Entry 2:
Computed, not measured: a relaxed Ag2BrCl2 crystal at the PBE-GGA level of DFT.

Unit cell a=7.800 b=7.800 c=4.717 alpha=90.00 beta=90.00 gamma=90.00
Atoms (fractional coordinates):
Ag1 0.222 0.722 0.000
Ag2 0.778 0.278 0.000
Ag3 0.278 0.222 0.000
Ag4 0.722 0.778 0.000
Br1 0.500 0.500 0.000
Br2 0.000 0.000 0.000
Cl1 0.669 0.831 0.500
Cl2 0.169 0.669 0.500
Cl3 0.831 0.331 0.500
Cl4 0.331 0.169 0.500

D(E_F) ... 2.603 states/eV/f.u.
Energy relative to the elements, uncorrected ... -1.219 eV/f.u.

=====

Number 1: excess energy over the best structure of this formula in the dataset 0.0 meV/atom. Number 2: excess energy over the best structure of this formula in the dataset 112.2 meV/atom.